Entry from Alexandria via LeMat-Bulk: a relaxed La2PrNdMg crystal (GGA-PBE).

abc: 5.8127 6.3180 9.6926
angles: 71.27 90.00 90.00
Positions (direct):
Nd: 0.2500 0.8183 0.0035
Nd: 0.7500 0.1817 0.9965
Pr: 0.7500 0.3634 0.6053
Pr: 0.2500 0.6366 0.3947
La: 0.7500 0.7531 0.7918
La: 0.7500 0.9891 0.3874
La: 0.2500 0.0109 0.6126
La: 0.2500 0.2469 0.2082
Mg: 0.2500 0.4156 0.8071
Mg: 0.7500 0.5844 0.1929

Calculated values
DFT formation energy in meV/atom: 6
V in Å³/f.u.: 169
SG: P2_1/m, No. 11